1.
Here is a relaxed Na4B5C3 crystal from Alexandria via LeMat-Bulk. Energies are from PBE.

Cell and atoms, written as extended XYZ:
```
24
Lattice="5.695 0.000 0.000 0.000 5.004 0.000 -2.852 0.000 8.520" Properties=species:S:1:pos:R:3 pbc="T T T"
Na 0.712 1.244 0.000
Na -0.714 3.760 4.260
Na 0.709 1.253 4.237
Na -0.717 3.751 8.497
Na 3.560 1.253 0.023
Na 2.134 3.751 4.283
Na 3.557 1.244 4.259
Na 2.131 3.760 8.519
B -0.713 0.347 2.130
B -0.713 2.051 2.130
B -2.139 2.954 6.390
B -2.139 4.658 6.390
B -0.650 2.029 6.395
B 0.776 2.975 2.135
B 2.134 0.430 2.130
B 0.708 4.575 6.390
B 2.067 2.029 6.384
B 3.493 2.975 2.125
C -0.687 0.427 6.397
C 0.739 4.577 2.137
C 2.134 2.077 2.130
C 0.708 2.927 6.390
C 2.104 0.427 6.383
C 3.530 4.577 2.123
```

Summary:
The energy of formation is 0.0964 eV per atom. The value obtained for the energy above the most stable polymorph in this dataset is 0.0357 eV/atom.



2.
Here is a relaxed NaBC crystal from Alexandria via LeMat-Bulk. Energies are from PBE.

Cell and atoms, written as extended XYZ:
```
6
Lattice="2.820 0.000 0.000 -1.410 2.442 0.000 0.000 0.000 8.402" Properties=species:S:1:pos:R:3 pbc="T T T"
Na 0.000 0.000 0.000
Na 0.000 0.000 4.201
B 0.000 1.628 2.100
B 1.410 0.814 6.301
C 0.000 1.628 6.301
C 1.410 0.814 2.100
```

Summary:
The energy of formation is -0.0121 eV per atom.



3.
Here is a relaxed Na2B3C crystal from Alexandria via LeMat-Bulk. Energies are from PBE.

Cell and atoms, written as extended XYZ:
```
24
Lattice="10.075 0.000 0.000 0.000 2.818 0.000 -4.695 0.000 8.927" Properties=species:S:1:pos:R:3 pbc="T T T"
Na 0.000 0.000 0.000
Na -2.331 1.409 4.440
Na -1.008 0.000 6.669
Na 1.328 1.409 2.235
Na 2.662 0.000 4.455
Na 0.313 1.409 8.923
Na 4.044 1.409 6.651
Na 6.411 0.000 2.230
B -3.283 1.409 7.049
B -2.433 1.409 8.495
B -0.030 0.000 4.128
B 2.775 0.000 0.445
B 1.259 1.409 6.244
B 3.630 0.000 1.872
B 4.171 1.409 2.758
B 2.512 0.000 8.328
B 5.376 0.000 4.733
B 7.821 1.409 0.430
B 6.271 0.000 6.172
B 8.750 1.409 1.987
C -0.903 0.000 2.699
C 0.403 1.409 4.836
C 1.702 0.000 6.969
C 4.967 1.409 4.078
```

Summary:
The energy of formation is 0.1554 eV per atom. The value obtained for the energy above the most stable polymorph in this dataset is 0.0221 eV/atom.



4.
Here is a relaxed Na2B3C crystal from Alexandria via LeMat-Bulk. Energies are from PBE.

Cell and atoms, written as extended XYZ:
```
30
Lattice="8.631 0.000 0.000 0.000 1.409 13.040 0.000 -1.409 13.040" Properties=species:S:1:pos:R:3 pbc="T T T"
Na 2.143 0.000 0.000
Na 2.151 0.000 15.670
Na 2.157 0.000 5.246
Na 2.160 0.000 10.424
Na 2.162 0.000 20.871
Na 6.475 0.000 5.246
Na 6.472 0.000 10.424
Na 6.470 0.000 20.871
Na 6.480 0.000 15.670
Na 6.489 0.000 0.000
B 0.000 0.000 3.280
B 0.000 0.000 7.112
B 0.000 0.000 8.834
B 0.000 0.000 12.231
B 0.000 0.000 13.966
B 0.000 0.000 17.411
B 0.000 0.000 19.073
B 0.000 0.000 24.254
B 4.316 0.000 2.051
B 4.316 0.000 6.887
B 4.316 0.000 12.261
B 4.316 0.000 13.954
B 4.316 0.000 17.491
B 4.316 0.000 22.392
B 4.316 0.000 24.166
C 0.000 0.000 1.735
C 0.000 0.000 22.667
C 4.316 0.000 3.614
C 4.316 0.000 8.536
C 4.316 0.000 19.112
```

Summary:
The energy of formation is 0.1547 eV per atom. The value obtained for the energy above the most stable polymorph in this dataset is 0.0214 eV/atom.



5.
Here is a relaxed Na2B3C crystal from Alexandria via LeMat-Bulk. Energies are from PBE.

Cell and atoms, written as extended XYZ:
```
24
Lattice="5.830 0.000 0.000 0.000 5.061 0.000 -2.912 0.000 8.597" Properties=species:S:1:pos:R:3 pbc="T T T"
Na 0.000 0.000 2.131
Na -1.455 2.517 6.463
Na 1.459 2.527 2.134
Na 0.001 5.050 6.442
Na 2.917 5.050 2.155
Na 1.458 2.527 6.462
Na 4.372 2.517 2.134
Na 2.917 0.000 6.466
B -1.456 0.844 4.298
B 0.000 1.609 0.000
B 0.000 3.335 0.000
B -1.456 4.136 4.298
B 0.012 1.686 4.302
B 0.077 3.455 4.298
B 1.530 4.269 0.004
B 1.459 0.750 4.298
B 2.915 1.696 0.000
B 2.840 3.455 4.298
B 1.388 4.269 8.592
B 2.906 1.686 4.295
C 1.489 0.826 0.004
C 2.915 3.367 0.000
C 1.459 4.201 4.298
C 1.429 0.826 8.593
```

Summary:
The energy of formation is 0.1797 eV per atom. The value obtained for the energy above the most stable polymorph in this dataset is 0.0463 eV/atom.



6.
Here is a relaxed Na2B3C crystal from Alexandria via LeMat-Bulk. Energies are from PBE.

Cell and atoms, written as extended XYZ:
```
24
Lattice="8.741 -2.562 0.000 8.741 2.562 0.000 -0.954 0.000 5.682" Properties=species:S:1:pos:R:3 pbc="T T T"
Na 1.887 -0.001 1.778
Na 1.424 0.000 4.618
Na 5.623 -0.005 5.322
Na 6.119 -0.011 2.485
Na 10.408 -0.011 3.197
Na 10.904 -0.005 0.360
Na 15.102 0.000 1.064
Na 14.639 -0.001 3.904
B 4.243 0.851 0.715
B 8.741 1.767 0.000
B 8.263 1.767 2.841
B 8.018 0.696 4.263
B 8.509 0.696 1.419
B 3.786 -0.820 3.487
B 4.246 -0.928 0.797
B 12.284 0.851 4.967
B 8.741 -1.653 0.000
B 8.263 -1.653 2.841
B 12.740 -0.820 2.195
B 12.281 -0.928 4.885
C 3.773 0.842 3.517
C 12.754 0.842 2.165
C 8.020 -0.852 4.261
C 8.507 -0.852 1.421
```

Summary:
The energy of formation is 0.1773 eV per atom. The value obtained for the energy above the most stable polymorph in this dataset is 0.0440 eV/atom.



7.
Here is a relaxed Na4B5C3 crystal from Alexandria via LeMat-Bulk. Energies are from PBE.

Cell and atoms, written as extended XYZ:
```
24
Lattice="5.004 0.000 0.000 0.000 8.514 0.000 -0.009 0.000 5.700" Properties=species:S:1:pos:R:3 pbc="T T T"
Na 1.243 8.513 0.711
Na 1.243 4.258 0.711
Na 1.248 0.024 3.561
Na 1.248 4.233 3.561
Na 3.747 4.280 2.139
Na 3.747 8.490 2.139
Na 3.752 0.001 4.989
Na 3.752 4.256 4.989
B 0.339 2.128 4.995
B 0.428 2.128 2.137
B 2.024 6.385 2.198
B 2.023 6.385 4.914
B 2.041 2.128 4.983
B 2.954 6.385 0.717
B 2.972 2.128 0.786
B 2.971 2.128 3.502
B 4.567 6.385 3.563
B 4.656 6.385 0.705
C 0.424 6.385 2.168
C 0.422 6.385 4.963
C 2.071 2.128 2.132
C 2.924 6.385 3.568
C 4.573 2.128 0.737
C 4.571 2.128 3.532
```

Summary:
The energy of formation is 0.1043 eV per atom. The value obtained for the energy above the most stable polymorph in this dataset is 0.0436 eV/atom.



8.
Here is a relaxed Na2B3C crystal from Alexandria via LeMat-Bulk. Energies are from PBE.

Cell and atoms, written as extended XYZ:
```
30
Lattice="11.631 -1.411 0.000 11.631 1.411 0.000 -2.891 0.000 9.657" Properties=species:S:1:pos:R:3 pbc="T T T"
Na 0.000 0.000 0.000
Na 0.349 0.000 6.682
Na 3.476 0.000 3.800
Na 6.666 0.000 0.922
Na 6.987 0.000 7.678
Na 10.199 0.000 4.764
Na 13.392 0.000 1.900
Na 13.659 0.000 8.653
Na 16.862 0.000 5.689
Na 20.051 0.000 2.839
B 0.680 0.000 3.887
B -0.073 0.000 9.519
B 4.077 0.000 7.681
B 6.102 0.000 3.491
B 7.297 0.000 4.788
B 9.542 0.000 0.875
B 10.710 0.000 2.129
B 9.959 0.000 7.739
B 12.996 0.000 4.644
B 14.142 0.000 5.927
B 16.084 0.000 1.668
B 16.436 0.000 8.504
B 20.437 0.000 0.067
B 19.701 0.000 5.643
B 20.826 0.000 6.885
C -0.376 0.000 2.712
C 3.905 0.000 1.060
C 3.052 0.000 6.536
C 10.998 0.000 8.898
C 17.180 0.000 2.890
```

Summary:
The energy of formation is 0.1506 eV per atom. The value obtained for the energy above the most stable polymorph in this dataset is 0.0173 eV/atom.



9.
Here is a relaxed Na2B3C crystal from Alexandria via LeMat-Bulk. Energies are from PBE.

Cell and atoms, written as extended XYZ:
```
24
Lattice="2.784 0.000 0.000 0.000 8.653 5.261 0.000 -8.653 5.261" Properties=species:S:1:pos:R:3 pbc="T T T"
Na 0.000 -6.502 5.261
Na 0.000 -2.169 5.259
Na 0.000 2.169 5.259
Na 0.000 6.502 5.261
Na 1.392 -2.167 2.626
Na 1.392 2.167 2.626
Na 1.392 -2.189 7.916
Na 1.392 2.189 7.916
B 0.000 -4.337 3.588
B 0.000 0.000 1.569
B 0.000 0.000 3.325
B 0.000 -4.338 7.106
B 0.000 4.337 3.588
B 0.000 0.000 7.297
B 0.000 4.338 7.106
B 1.392 -4.346 5.978
B 1.392 0.000 4.463
B 1.392 0.000 6.175
B 1.392 4.346 5.978
B 1.392 0.000 9.674
C 0.000 0.000 8.848
C 1.392 0.000 0.760
C 1.392 -4.352 4.413
C 1.392 4.352 4.413
```

Summary:
The energy of formation is 0.1368 eV per atom. The value obtained for the energy above the most stable polymorph in this dataset is 0.0035 eV/atom.



10.
Here is a relaxed Na4B5C3 crystal from Alexandria via LeMat-Bulk. Energies are from PBE.

Cell and atoms, written as extended XYZ:
```
24
Lattice="2.810 0.000 0.000 0.000 8.534 0.000 0.000 0.000 10.118" Properties=species:S:1:pos:R:3 pbc="T T T"
Na 0.702 0.012 1.256
Na 0.702 4.255 1.256
Na 0.702 4.295 6.346
Na 0.702 8.506 6.346
Na 2.107 0.028 3.772
Na 2.107 4.239 3.772
Na 2.107 4.279 8.862
Na 2.107 8.522 8.862
B 0.702 2.134 2.822
B 0.702 2.134 4.565
B 0.702 2.134 8.076
B 0.702 6.401 4.428
B 0.702 6.401 9.738
B 2.107 2.134 0.381
B 2.107 2.134 5.690
B 2.107 6.401 2.042
B 2.107 6.401 5.553
B 2.107 6.401 7.296
C 0.702 2.134 9.687
C 0.702 6.401 2.866
C 0.702 6.401 8.113
C 2.107 2.134 2.005
C 2.107 2.134 7.252
C 2.107 6.401 0.431
```

Summary:
The energy of formation is 0.0629 eV per atom. The value obtained for the energy above the most stable polymorph in this dataset is 0.0022 eV/atom.



11.
Here is a relaxed Na5B8C2 crystal from Alexandria via LeMat-Bulk. Energies are from PBE.

Cell and atoms, written as extended XYZ:
```
30
Lattice="2.939 0.000 0.000 -1.470 2.545 0.000 0.000 0.000 42.917" Properties=species:S:1:pos:R:3 pbc="T T T"
Na 0.000 0.000 0.000
Na 0.000 0.000 4.206
Na 0.000 0.000 8.545
Na 0.000 0.000 12.914
Na 0.000 0.000 17.252
Na 0.000 0.000 21.459
Na 0.000 0.000 25.665
Na 0.000 0.000 30.003
Na 0.000 0.000 34.372
Na 0.000 0.000 38.711
B 0.000 1.697 2.097
B 0.000 1.697 6.376
B 0.000 1.697 10.729
B 0.000 1.697 15.082
B 0.000 1.697 19.362
B 0.000 1.697 27.835
B 0.000 1.697 32.188
B 0.000 1.697 36.541
B 1.470 0.848 6.376
B 1.470 0.848 10.729
B 1.470 0.848 15.082
B 1.470 0.848 23.556
B 1.470 0.848 27.835
B 1.470 0.848 32.188
B 1.470 0.848 36.541
B 1.470 0.848 40.820
C 0.000 1.697 23.554
C 0.000 1.697 40.822
C 1.470 0.848 2.096
C 1.470 0.848 19.363
```

Summary:
The energy of formation is 0.2220 eV per atom. The value obtained for the energy above the most stable polymorph in this dataset is 0.0517 eV/atom.



12.
Here is a relaxed NaBC crystal from Alexandria via LeMat-Bulk. Energies are from PBE.

Cell and atoms, written as extended XYZ:
```
6
Lattice="5.162 -1.619 0.000 5.162 1.619 0.000 -0.791 0.000 4.149" Properties=species:S:1:pos:R:3 pbc="T T T"
Na 0.930 0.000 1.841
Na 8.604 0.000 2.308
B 2.991 0.000 0.031
B 6.543 0.000 4.117
C 4.522 0.000 0.068
C 5.012 0.000 4.081
```

Summary:
The energy of formation is 0.1630 eV per atom.



Which total magnetization belongs to each record? In order, 0.00, 0.00, 0.00, 0.00, 0.00, 0.01, 0.00, 0.00, 0.00, 0.00, 0.00, 0.00 μB per formula unit.
Which electronic total energy belongs to each record? In order, -5.43, -5.75, -5.16, -5.16, -5.14, -5.14, -5.42, -5.17, -5.18, -5.47, -5.01, -5.58 eV per atom.